Record 1
PBE SrHgIO2, relaxed; volume = 30.52 Å³/atom; DOS(E_F) = 2.5 states/eV/cell; raw formation energy = -0.52 eV per atom
1.0
-2.467 -2.306 3.152
0.422 -3.864 -2.497
6.010 -1.618 3.520
Sr O I Hg
1 2 1 1
direct
0.000 0.000 0.000
0.000 0.500 0.000
0.500 0.000 0.000
0.000 0.000 0.500
0.500 0.500 0.500



Record 2
PBE SrHgI2O, relaxed; volume = 37.93 Å³/atom; DOS(E_F) = 10.2 states/eV/cell; raw formation energy = -0.61 eV per atom
1.0
-5.489 1.415 3.364
-0.154 -6.160 2.340
2.415 1.239 3.420
Sr Hg I O
1 1 2 1
direct
0.000 0.000 0.000
0.500 0.500 0.500
0.500 0.000 0.000
0.000 0.500 0.000
0.000 0.000 0.500



Record 3
PBE SrHg2IO6, relaxed; volume = 15.77 Å³/atom; DOS(E_F) = 3.6 states/eV/cell; raw formation energy = -0.81 eV per atom
1.0
-2.673 5.023 1.497
-5.063 1.522 -2.584
-5.256 -0.360 3.386
O Sr I Hg
6 1 1 2
direct
0.655 0.098 0.835
0.977 0.535 0.268
0.098 0.412 0.835
0.220 0.977 0.268
0.535 0.220 0.268
0.412 0.655 0.835
0.816 0.816 0.552
0.316 0.316 0.051
0.581 0.581 0.258
0.051 0.051 0.846



Record 4
PBE Sr2HgI2O2, relaxed; volume = 27.30 Å³/atom; DOS(E_F) = 0.0 states/eV/cell; raw formation energy = -1.76 eV per atom
1.0
-2.553 -0.875 3.271
3.431 -3.016 4.621
1.431 5.461 5.327
Sr O I Hg
2 2 2 1
direct
0.199 0.391 0.212
0.801 0.609 0.788
0.811 0.311 0.066
0.189 0.689 0.934
0.578 0.207 0.638
0.422 0.793 0.362
0.000 0.000 0.000



Q: The lowest volume belongs to which entry?
A: SrHg2IO6